Record 1
First-principles (PBE) data for a relaxed structure of SrTl3Ag3, as listed in Alexandria via LeMat-Bulk.

Cell lengths 7.8190, 7.8190, 7.8190 Å; angles 90.00, 90.00, 90.00 degrees
Positions (direct):
Tl: 0.0000 0.5000 0.7500
Tl: 0.0000 0.5000 0.2500
Tl: 0.7500 0.0000 0.5000
Tl: 0.2500 0.0000 0.5000
Tl: 0.5000 0.7500 0.0000
Tl: 0.5000 0.2500 0.0000
Ag: 0.0000 0.7500 0.5000
Ag: 0.7500 0.5000 0.0000
Ag: 0.5000 0.0000 0.2500
Ag: 0.2500 0.5000 0.0000
Ag: 0.5000 0.0000 0.7500
Ag: 0.0000 0.2500 0.5000
Sr: 0.5000 0.5000 0.5000
Sr: 0.0000 0.0000 0.0000

Calculated values
- E_form: 238 meV per atom



Record 2
First-principles (PBE) data for a relaxed structure of TbPr3Ho2, as listed in Alexandria via LeMat-Bulk.

Cell lengths 11.1079, 8.9758, 8.9758 Å; angles 44.96, 51.77, 51.77 degrees
Positions (direct):
Tb: 0.0000 0.0000 0.0000
Tb: 0.0000 0.5000 0.5000
Ho: 0.4366 0.8206 0.8206
Ho: 0.9222 0.3206 0.3206
Ho: 0.0778 0.6794 0.6794
Ho: 0.5634 0.1794 0.1794
Pr: 0.7662 0.9838 0.4838
Pr: 0.7662 0.4838 0.9838
Pr: 0.5000 0.7500 0.2500
Pr: 0.2338 0.5162 0.0162
Pr: 0.5000 0.2500 0.7500
Pr: 0.2338 0.0162 0.5162

Calculated values
- Distance to the lowest polymorph of the same formula: 271 meV per atom
- E_form: 580 meV per atom



Record 3
First-principles (PBE) data for a relaxed structure of PmPr2NdSm2, as listed in Alexandria via LeMat-Bulk.

Cell lengths 3.4663, 6.7678, 18.2470 Å; angles 90.00, 90.00, 90.00 degrees
Positions (direct):
Sm: 0.0000 0.2750 0.1483
Sm: 0.5000 0.2250 0.6483
Sm: 0.5000 0.7750 0.3517
Sm: 0.0000 0.7250 0.8517
Nd: 0.0000 0.0000 0.5000
Nd: 0.5000 0.5000 0.0000
Pr: 0.0000 0.7712 0.1838
Pr: 0.5000 0.2712 0.3162
Pr: 0.0000 0.2288 0.8162
Pr: 0.5000 0.7288 0.6838
Pm: 0.5000 0.5000 0.5000
Pm: 0.0000 0.0000 0.0000

Calculated values
- E_form: 241 meV per atom



Record 4
First-principles (PBE) data for a relaxed structure of SnBTeN2, as listed in Alexandria via LeMat-Bulk.

Cell lengths 4.0151, 4.0151, 6.3633 Å; angles 90.00, 90.00, 90.00 degrees
Positions (direct):
Te: 0.0000 0.0000 0.5000
Sn: 0.0000 0.0000 0.0000
N: 0.5000 0.0000 0.0000
N: 0.0000 0.5000 0.0000
B: 0.5000 0.5000 0.5000

Calculated values
- Distance to the lowest polymorph of the same formula: 220 meV per atom



Record 5
First-principles (PBE) data for a relaxed structure of HfNbIn2N, as listed in Alexandria via LeMat-Bulk.

Cell lengths 5.6318, 3.8403, 5.6318 Å; angles 90.00, 90.00, 90.00 degrees
Positions (direct):
N: 0.0000 0.5000 0.0000
Hf: 0.0000 0.0000 0.0000
In: 0.0000 0.0000 0.5000
In: 0.5000 0.0000 0.0000
Nb: 0.5000 0.5000 0.5000

Calculated values
- Raw total energy: -5.84 eV per atom



Record 6
First-principles (PBE) data for a relaxed structure of MgSbPt2, as listed in Alexandria via LeMat-Bulk.

Cell lengths 5.0028, 5.0028, 4.3690 Å; angles 73.97, 73.97, 43.21 degrees
Positions (direct):
Pt: 0.7550 0.7550 0.6985
Pt: 0.9970 0.9970 0.0509
Sb: 0.4910 0.4910 0.5509
Mg: 0.2570 0.2570 0.1997

Calculated values
- Raw total energy: -4.98 eV per atom



Record 7
First-principles (PBE) data for a relaxed structure of LiCd2Pt, as listed in Alexandria via LeMat-Bulk.

Cell lengths 4.0656, 4.0656, 9.9971 Å; angles 78.27, 78.27, 90.00 degrees
Positions (direct):
Cd: 0.1195 0.6250 0.2500
Cd: 0.8750 0.8805 0.7500
Cd: 0.6305 0.1250 0.2500
Cd: 0.3750 0.3695 0.7500
Pt: 0.7500 0.2500 0.5000
Pt: 0.0000 0.0000 0.0000
Li: 0.2500 0.7500 0.5000
Li: 0.5000 0.5000 0.0000

Calculated values
- Distance to the lowest polymorph of the same formula: 349 meV per atom
- E_form: -88 meV per atom



Record 8
First-principles (PBE) data for a relaxed structure of NpTeS2, as listed in Alexandria via LeMat-Bulk.

Cell lengths 3.5244, 3.5244, 9.3950 Å; angles 79.19, 79.19, 60.00 degrees
Positions (direct):
Np: 0.0000 0.0000 0.0000
S: 0.9077 0.9077 0.2770
S: 0.0923 0.0923 0.7230
Te: 0.5000 0.5000 0.5000

Calculated values
- Raw total energy: -5.76 eV per atom



Record 9
First-principles (PBE) data for a relaxed structure of EuMgAl, as listed in Alexandria via LeMat-Bulk.

Cell lengths 3.5098, 5.0507, 5.0507 Å; angles 120.00, 90.00, 90.00 degrees
Positions (direct):
Al: 0.1663 0.0000 0.0000
Eu: 0.6667 0.3333 0.6667
Mg: 0.1670 0.6667 0.3333

Calculated values
- E_form: -165 meV per atom



Record 10
First-principles (PBE) data for a relaxed structure of Ac2NiSn3, as listed in Alexandria via LeMat-Bulk.

Cell lengths 4.6715, 4.7058, 8.0501 Å; angles 90.00, 90.00, 90.00 degrees
Positions (direct):
Ni: 0.5000 0.5000 0.3131
Sn: 0.5000 0.0000 0.8396
Sn: 0.5000 0.0000 0.1986
Sn: 0.5000 0.5000 0.6286
Ac: 0.0000 0.0000 0.5017
Ac: 0.0000 0.5000 0.0184

Calculated values
- Distance to the lowest polymorph of the same formula: 0 meV per atom
- E_form: -588 meV per atom



Record 11
First-principles (PBE) data for a relaxed structure of K4Er3UTe8, as listed in Alexandria via LeMat-Bulk.

Cell lengths 8.9815, 9.7457, 8.9812 Å; angles 117.44, 120.00, 90.00 degrees
Positions (direct):
Te: 0.7606 0.2908 0.5212
Te: 0.2394 0.7092 0.9698
Te: 0.7355 0.7064 0.4709
Te: 0.7303 0.7092 0.9698
Te: 0.2645 0.2936 0.5291
Te: 0.7606 0.2908 0.0302
Te: 0.2697 0.2908 0.0302
Te: 0.2394 0.7092 0.4788
Er: 0.5000 0.5000 0.5000
Er: 0.0000 0.5000 0.5000
Er: 0.5000 0.5000 0.0000
K: 0.5000 0.0000 0.5000
K: 0.0000 0.0000 0.0000
K: 0.0000 0.0000 0.5000
K: 0.5000 0.0000 0.0000
U: 0.0000 0.5000 0.0000

Calculated values
- Raw total energy: -4.64 eV per atom



Record 12
First-principles (PBE) data for a relaxed structure of CaMgS2N, as listed in Alexandria via LeMat-Bulk.

Cell lengths 5.2544, 5.2544, 4.4461 Å; angles 90.00, 90.00, 90.00 degrees
Positions (direct):
N: 0.0000 0.0000 0.5000
S: 0.0000 0.5000 0.0000
S: 0.5000 0.0000 0.0000
Ca: 0.0000 0.0000 0.0000
Mg: 0.5000 0.5000 0.5000

Calculated values
- Distance to the lowest polymorph of the same formula: 633 meV per atom



Number 1: N(E_F) 9.78 states/eV/cell. Number 2: N(E_F) 20.37 states/eV/cell. Number 3: N(E_F) 21.96 states/eV/cell. Number 4: N(E_F) 3.28 states/eV/cell. Number 5: N(E_F) 7.16 states/eV/cell. Number 6: N(E_F) 1.24 states/eV/cell. Number 7: N(E_F) 3.50 states/eV/cell. Number 8: N(E_F) 8.65 states/eV/cell. Number 9: N(E_F) 7.74 states/eV/cell. Number 10: N(E_F) 2.91 states/eV/cell. Number 11: N(E_F) 10.42 states/eV/cell. Number 12: N(E_F) 3.54 states/eV/cell.